RbCaVTePdF | PBE+U | optimized geometry

Electronic total energy = -4.40 eV per atom
Total magnetization = 6.0 Bohr magnetons per cell

a = 13.453 Å, b = 4.386 Å, c = 5.529 Å
α = 90.00°, β = 91.81°, γ = 90.00°
Space group Cm (No. 8)
Unique sites:
Rb 0.000 0.000 0.000 (multiplicity 2)
Ca 0.137 0.500 0.505 (multiplicity 2)
V 0.271 0.000 0.812 (multiplicity 2)
Te 0.321 0.000 0.333 (multiplicity 2)
Pd 0.238 0.500 0.041 (multiplicity 2)
F 0.074 0.000 0.510 (multiplicity 2)